Here is Tb5As4O after structural relaxation from Alexandria. Energies are from PBE-GGA.

Summary:
Formation energy (no corrections) = -1725 meV/atom

a b c (Å): 5.813 6.980 6.980
angles (deg): 80.02 65.39 65.39
Element x y z (fractional)
Tb (0.100, 0.615, 0.189)
Tb (0.290, 0.811, 0.615)
Tb (0.715, 0.189, 0.385)
Tb (0.435, 0.000, 0.000)
Tb (0.904, 0.385, 0.811)
As (0.408, 0.395, 0.794)
As (0.202, 0.206, 0.395)
As (0.597, 0.605, 0.206)
As (0.802, 0.794, 0.605)
O (0.058, 0.000, 0.000)